# 1
Computed, not measured: an optimized crystal structure of NbCd3Te4 at the GGA-PBE level of DFT.

Properties
- Space group: P-43m
- Total DFT energy (no corrections): -3.27 eV per atom

a b c (Å): 6.476 6.476 6.476
angles (deg): 90.00 90.00 90.00
Positions (direct):
Nb  0.000  0.000  0.000
Cd  0.000  0.000  0.500
Cd  0.000  0.500  0.000
Cd  0.500  0.000  0.000
Te  0.262  0.262  0.262
Te  0.262  0.738  0.738
Te  0.738  0.262  0.738
Te  0.738  0.738  0.262

=====

# 2
Computed, not measured: an optimized crystal structure of PmY2Co9 at the GGA-PBE level of DFT.

Properties
- Formation enthalpy at 0 K: -0.134 eV per atom
- Space group: R-3m
- Total DFT energy (no corrections): -6.94 eV per atom

a b c (Å): 8.576 8.576 8.576
angles (deg): 33.87 33.87 33.87
Positions (direct):
Pm  0.000  0.000  0.000
Y  0.140  0.140  0.140
Y  0.860  0.860  0.860
Co  0.079  0.583  0.583
Co  0.335  0.335  0.335
Co  0.417  0.417  0.921
Co  0.417  0.921  0.417
Co  0.500  0.500  0.500
Co  0.583  0.079  0.583
Co  0.583  0.583  0.079
Co  0.665  0.665  0.665
Co  0.921  0.417  0.417

=====

# 3
Computed, not measured: an optimized crystal structure of Be2Fe3Si2Ir at the GGA-PBE level of DFT.

Properties
- Space group: P-4m2
- Total DFT energy (no corrections): -6.99 eV per atom

a b c (Å): 3.878 3.878 5.498
angles (deg): 90.00 90.00 90.00
Positions (direct):
Be  0.000  0.500  0.235
Be  0.500  0.000  0.765
Fe  0.000  0.000  0.000
Fe  0.000  0.000  0.500
Fe  0.500  0.500  0.000
Si  0.000  0.500  0.767
Si  0.500  0.000  0.233
Ir  0.500  0.500  0.500

=====

Question: Which formula does entry 1 have?
Answer: NbCd3Te4